[1]
Here is a relaxed BaIr2Au crystal from Alexandria via LeMat-Bulk. Energies are from GGA-PBE.

The formation energy is 1.5 eV/f.u. For the density, the calculation gives 11.7 g cm⁻³. Its relative energy among the computed polymorphs is 506 meV/atom. The value obtained for the total magnetization is 0.00 μB per formula unit.

The space group is Imm2 (No. 44) and the conventional cell measures 4.346, 5.865 and 7.994 Å, with angles of 90.00, 90.00 and 90.00 degrees. The distinct sites, in fractional coordinates, are Ba at (0.000, 0.000, 0.000), Ir at (0.000, 0.000, 0.455), Ir at (0.000, 0.500, 0.832) and Au at (0.000, 0.500, 0.192).

=====

[2]
Here is a relaxed SmThPdAu crystal from Alexandria via LeMat-Bulk. Energies are from GGA-PBE.

The formation energy is -2.7 eV/f.u. For the density, the calculation gives 11.6 g cm⁻³. Its relative energy among the computed polymorphs is 106 meV/atom. The value obtained for the total magnetization is 0.00 μB per formula unit.

The space group is F-43m (No. 216) and the conventional cell measures 7.312, 7.312 and 7.312 Å, with angles of 90.00, 90.00 and 90.00 degrees. The distinct sites, in fractional coordinates, are Sm at (0.000, 0.000, 0.000), Th at (0.000, 0.000, 0.500), Pd at (0.250, 0.250, 0.250) and Au at (0.250, 0.250, 0.750).

=====

[3]
Here is a relaxed KReTc2 crystal from Alexandria via LeMat-Bulk. Energies are from GGA-PBE.

The formation energy is 5.0 eV/f.u. For the density, the calculation gives 9.2 g cm⁻³. Its relative energy among the computed polymorphs is 548 meV/atom. The value obtained for the total magnetization is 0.00 μB per formula unit.

The space group is Immm (No. 71) and the conventional cell measures 2.873, 5.373 and 9.836 Å, with angles of 90.00, 90.00 and 90.00 degrees. The distinct sites, in fractional coordinates, are K at (0.000, 0.000, 0.000), Re at (0.000, 0.000, 0.500) and Tc at (0.000, 0.500, 0.209).